Entry from Alexandria via LeMat-Bulk: crystalline LiLaGa2Ir at its relaxed geometry (PBE).

## Properties
ΔH_f (0 K): -0.46 eV per atom
size of the total moment: 0.0000 μB per atom
theoretical density: 7.38 Mg/m³

```
5
Lattice="-4.550 0.317 1.406 0.152 -4.524 1.513 1.417 1.470 4.255" Properties=species:S:1:pos:R:3 pbc="T T T"
Ir 0.000 0.000 0.000
Li 0.709 0.735 2.127
Ga 0.076 -2.262 0.756
Ga -2.275 0.159 0.703
La -1.490 -1.368 3.586
```